Compound: CaThCl
Source: the Alexandria database
Functional: GGA-PBE
Structure: relaxed

Computed properties:
Formation energy from raw total energies   -849 meV/atom
Fermi-level density of states   4.51 states/eV per cell
E_tot   -4.61 eV/atom
Space-group type   Cm

Cell: 3.7374 3.7374 15.8705 Å, 96.74 96.74 60.02°
Fractional coordinates of all 6 atoms:
Ca  0.0000  0.0000  0.0000
Ca  0.7320  0.7320  0.1974
Th  0.1728  0.1728  0.5122
Th  0.5639  0.5639  0.6853
Cl  0.1028  0.1028  0.3094
Cl  0.6293  0.6293  0.8880


Compound: CaThCl6
Source: the Alexandria database
Functional: GGA-PBE
Structure: relaxed

Computed properties:
Formation energy from raw total energies   -2236 meV/atom
Fermi-level density of states   0.00 states/eV per cell
E_tot   -4.80 eV/atom
Space-group type   R-3

Cell: 7.4847 7.4847 7.4847 Å, 55.26 55.26 55.26°
Fractional coordinates of all 8 atoms:
Ca  0.0000  0.0000  0.0000
Th  0.5000  0.5000  0.5000
Cl  0.1124  0.7447  0.3953
Cl  0.2553  0.6047  0.8876
Cl  0.3953  0.1124  0.7447
Cl  0.6047  0.8876  0.2553
Cl  0.7447  0.3953  0.1124
Cl  0.8876  0.2553  0.6047


Compound: CaTi2Cl
Source: the Alexandria database
Functional: GGA-PBE
Structure: relaxed

Computed properties:
Formation energy from raw total energies   282 meV/atom
Fermi-level density of states   13.25 states/eV per cell
E_tot   -4.63 eV/atom
Space-group type   I4_1/amd

Cell: 9.9029 9.9029 9.9029 Å, 153.64 153.64 37.62°
Fractional coordinates of all 8 atoms:
Ca  0.3750  0.6250  0.7500
Ca  0.6250  0.3750  0.2500
Ti  0.0000  0.0000  0.0000
Ti  0.0000  0.0000  0.5000
Ti  0.0000  0.5000  0.0000
Ti  0.5000  0.0000  0.5000
Cl  0.1250  0.8750  0.2500
Cl  0.8750  0.1250  0.7500


Compound: Ca2TiCl
Source: the Alexandria database
Functional: GGA-PBE
Structure: relaxed

Computed properties:
Formation energy from raw total energies   -94 meV/atom
Fermi-level density of states   8.09 states/eV per cell
E_tot   -3.53 eV/atom
Space-group type   I-42d

Cell: 6.8996 6.8996 6.8996 Å, 105.59 105.59 117.55°
Fractional coordinates of all 8 atoms:
Ca  0.0675  0.6250  0.9425
Ca  0.3750  0.3175  0.4425
Ca  0.6825  0.1250  0.0575
Ca  0.8750  0.9325  0.5575
Ti  0.2500  0.7500  0.5000
Ti  0.5000  0.5000  0.0000
Cl  0.0000  0.0000  0.0000
Cl  0.7500  0.2500  0.5000


What is the formula in the second record?
CaThCl6